Here is an optimized crystal structure of V3PbO9 from the Alexandria database. Energies are from GGA+U.

The structure belongs to space group C222_1 (No. 20); the cell edges are 9.2318, 12.5892 and 8.0938 Å and the angles 90.00°, 90.00° and 90.00°. The distinct sites, in fractional coordinates, are V at (0.0148, 0.1884, 0.0307), V at (0.2488, 0.5000, 0.0000), Pb at (0.1162, 0.5000, 0.5000), O at (0.0000, 0.1798, 0.2500), O at (0.0025, 0.3172, 0.9727), O at (0.1354, 0.1116, 0.5448), O at (0.1422, 0.4867, 0.8308) and O at (0.1740, 0.1364, 0.9683).

The value obtained for the uncorrected energy is -7.02 eV per atom. The calculated density is 3.56 g cm⁻³. As for the volume: 18.09 A^3/atom.